Sm3Dy4Ho4: optimized geometry, PBE.

abc: 3.528 11.216 10.893
angles: 120.99 99.32 90.00
Element x y z (fractional)
Dy 0.781 0.281 0.562
Sm 0.000 0.500 0.000
Ho 0.329 0.085 0.657
Ho 0.329 0.572 0.657
Ho 0.671 0.428 0.343
Dy 0.219 0.719 0.438
Sm 0.892 0.892 0.783
Sm 0.108 0.108 0.217
Dy 0.500 0.790 0.000
Ho 0.671 0.915 0.343
Dy 0.500 0.210 0.000

For the excess energy over the best structure of this formula in the dataset, the calculation gives 0.017 eV per atom. As for the total moment: 0.0 μB/f.u. For the formation energy, the calculation gives 0.17 eV per atom.